(1)
! MgNiBi2Os, relaxed, DFT GGA-PBE; values from VASP
! total energy: -4.32 eV per atom
! ρ: 10.18 g cm⁻³
&SYSTEM
  ibrav = 0, nat = 5, ntyp = 4
/
ATOMIC_SPECIES
Bi 208.98 Bi.upf
Mg 24.30 Mg.upf
Ni 58.69 Ni.upf
Os 190.23 Os.upf
CELL_PARAMETERS angstrom
-0.995 -4.684 1.314
2.934 -1.511 -3.167
3.677 0.154 3.333
ATOMIC_POSITIONS crystal
Bi 0.500 0.000 0.000
Bi 0.000 0.000 0.500
Mg 0.000 0.500 0.000
Ni 0.000 0.000 0.000
Os 0.500 0.500 0.500

(2)
! MgNiBi2P, relaxed, DFT GGA-PBE; values from VASP
! total energy: -3.86 eV per atom
! ρ: 6.81 g cm⁻³
&SYSTEM
  ibrav = 0, nat = 5, ntyp = 4
/
ATOMIC_SPECIES
Ni 58.69 Ni.upf
Bi 208.98 Bi.upf
Mg 24.30 Mg.upf
P 30.97 P.upf
CELL_PARAMETERS angstrom
5.637 0.000 0.000
0.000 4.082 0.000
0.000 0.000 5.637
ATOMIC_POSITIONS crystal
Ni 0.000 0.500 0.000
Bi 0.500 0.000 0.000
Bi 0.000 0.000 0.500
Mg 0.500 0.500 0.500
P 0.000 0.000 0.000

(3)
! MgNiBiPd, relaxed, DFT GGA-PBE; values from VASP
! total energy: -4.34 eV per atom
! ρ: 9.32 g cm⁻³
&SYSTEM
  ibrav = 0, nat = 4, ntyp = 4
/
ATOMIC_SPECIES
Mg 24.30 Mg.upf
Ni 58.69 Ni.upf
Pd 106.42 Pd.upf
Bi 208.98 Bi.upf
CELL_PARAMETERS angstrom
4.647 0.000 0.000
2.324 4.024 0.000
2.324 1.341 3.794
ATOMIC_POSITIONS crystal
Mg 0.500 0.500 0.500
Ni 0.750 0.750 0.750
Pd 0.250 0.250 0.250
Bi 0.000 0.000 0.000

(4)
! MgNiBiPt2, relaxed, DFT GGA-PBE; values from VASP
! total energy: -4.26 eV per atom
! ρ: 10.54 g cm⁻³
&SYSTEM
  ibrav = 0, nat = 5, ntyp = 4
/
ATOMIC_SPECIES
Ni 58.69 Ni.upf
Pt 195.08 Pt.upf
Mg 24.30 Mg.upf
Bi 208.98 Bi.upf
CELL_PARAMETERS angstrom
4.797 0.000 0.000
0.000 4.797 0.000
0.000 0.000 4.671
ATOMIC_POSITIONS crystal
Ni 0.000 0.000 0.000
Pt 0.000 0.500 0.000
Pt 0.500 0.000 0.000
Mg 0.500 0.500 0.500
Bi 0.000 0.000 0.500

Number 1: calculated volume 112.8 Å³ per cell. Number 2: calculated volume 129.7 Å³ per cell. Number 3: calculated volume 71.0 Å³ per cell. Number 4: calculated volume 107.5 Å³ per cell.